[1]
DFT (PBE) results for an optimized crystal structure of RbBaGa.

Values from the calculation:
- polymorph energy (0 for the lowest one) (eV per atom) = 0.000
- SG = Cm (8)
- energy relative to the elements (eV/atom) = -0.23

Unit cell a=4.592 b=4.592 c=17.458 alpha=90.00 beta=90.02 gamma=60.00
Fractional positions:
Ba 0.295 0.645 0.157
Ba 0.295 0.645 0.425
Rb 0.630 0.979 0.667
Rb 0.963 0.313 0.914
Ga 0.628 0.978 0.301
Ga 0.961 0.311 0.281

[2]
DFT (PBE) results for an optimized crystal structure of SmPa2As3.

Values from the calculation:
- SG = C2/m (12)
- energy relative to the elements (eV/atom) = -0.97

Unit cell a=4.095 b=8.212 c=10.055 alpha=107.85 beta=90.00 gamma=104.44
Fractional positions:
Pa 0.166 0.331 0.330
Pa 0.834 0.669 0.670
Pa 0.332 0.665 0.168
Pa 0.668 0.335 0.832
As 0.030 0.060 0.804
As 0.696 0.392 0.140
As 0.357 0.714 0.472
As 0.643 0.286 0.528
As 0.304 0.608 0.860
As 0.970 0.940 0.196
Sm 0.000 0.000 0.500
Sm 0.500 0.000 0.000

Q: Among the records above, which one has the highest energy relative to the elements?
A: RbBaGa

Q: Look up the energy relative to the elements of the second one.
A: -0.97 eV/atom

Q: The lowest energy relative to the elements belongs to which entry?
A: SmPa2As3

Q: Which value of energy relative to the elements does entry 1 give?
A: -0.23 eV/atom